Record 1
VASP calculation (PBE) on an optimized crystal structure of Tb5Pm12Mg2.

Results
ΔH_f (0 K) = 89 meV per atom

Cell lengths 15.7954, 9.2232, 8.5924 Å; angles 90.00, 92.57, 90.00 degrees
Closest atoms and distances in Å follow each position.
Space group C2/m (No. 12)
Symmetry-distinct sites (fractional):
Tb (0.0000, 0.0000, 0.0000) (multiplicity 2)  10 Pm 3.45-3.76, 2 Tb 3.69
Tb (0.2034, 0.5000, 0.5263) (multiplicity 4)  8 Pm 3.49-3.74, 2 Mg 3.55, 1 Tb 3.56
Tb (0.2319, 0.0000, 0.0715) (multiplicity 4)  8 Pm 3.36-3.67, 2 Tb 3.56-3.69
Pm (0.0589, 0.5000, 0.8391) (multiplicity 4)  2 Tb 3.36-3.60, 7 Pm 3.37-3.57, 2 Mg 3.38
Pm (0.0791, 0.0000, 0.3812) (multiplicity 4)  5 Pm 3.30-3.62, 3 Tb 3.45-3.67, 2 Mg 3.51
Pm (0.1274, 0.3056, 0.1808) (multiplicity 8)  5 Pm 3.41-3.59, 4 Tb 3.42-3.76, 1 Mg 3.49
Pm (0.1480, 0.1841, 0.7369) (multiplicity 8)  1 Mg 3.34, 4 Pm 3.37-3.62, 3 Tb 3.54-3.73
Mg (0.0000, 0.3356, 0.5000) (multiplicity 4)  1 Mg 3.03, 4 Pm 3.34-3.38

=====

Record 2
VASP calculation (PBE) on an optimized crystal structure of Pm6Ge3S2I.

Results
Formation energy without anion corrections = -1.288 eV per atom

Cell lengths 18.4539, 4.2508, 8.5260 Å; angles 90.00, 102.80, 90.00 degrees
Closest atoms and distances in Å follow each position.
Space group C2/m (No. 12)
Symmetry-distinct sites (fractional):
Pm (0.0026, 0.0000, 0.2761) (multiplicity 4)  3 Ge 2.86-2.98, 1 S 2.99, 2 I 3.16
Pm (0.1670, 0.5000, 0.5857) (multiplicity 4)  3 S 2.96-3.02, 3 Ge 3.01
Pm (0.1773, 0.5000, 0.0884) (multiplicity 4)  3 Ge 2.88-3.01, 2 S 3.02, 1 I 3.19
Ge (0.0000, 0.5000, 0.5000) (multiplicity 2)  6 Pm 2.86-3.01
Ge (0.1624, 0.0000, 0.8324) (multiplicity 4)  6 Pm 2.88-3.01
S (0.1687, 0.0000, 0.3352) (multiplicity 4)  6 Pm 2.96-3.02
I (0.0000, 0.5000, 0.0000) (multiplicity 2)  6 Pm 3.16-3.19

=====

Record 3
VASP calculation (PBE) on an optimized crystal structure of CeGdGa2.

Results
ΔH_f (0 K) = -524 meV per atom
Energy above the most stable polymorph in this dataset = 0 meV/atom

Cell lengths 3.5713, 3.5713, 7.4711 Å; angles 90.00, 90.00, 90.00 degrees
Closest atoms and distances in Å follow each position.
Space group P4/mmm (No. 123)
Symmetry-distinct sites (fractional):
Ce (0.0000, 0.0000, 0.0000) (multiplicity 1)  8 Ga 3.17
Gd (0.0000, 0.0000, 0.5000) (multiplicity 1)  8 Ga 3.11
Ga (0.5000, 0.5000, 0.2571) (multiplicity 2)  4 Gd 3.11, 4 Ce 3.17

=====

Record 4
VASP calculation (PBE) on an optimized crystal structure of TaVB3.

Results
ΔH_f (0 K) = -761 meV per atom
Energy above the most stable polymorph in this dataset = 0 meV/atom

Cell lengths 3.2089, 18.8274, 3.0556 Å; angles 90.00, 90.00, 90.00 degrees
Closest atoms and distances in Å follow each position.
Space group Cmcm (No. 63)
Symmetry-distinct sites (fractional):
Ta (0.0000, 0.0726, 0.2500) (multiplicity 4)  12 B 2.40-2.47
V (0.0000, 0.2053, 0.7500) (multiplicity 4)  7 B 2.24-2.30
B (0.0000, 0.3275, 0.7500) (multiplicity 4)  2 B 1.80
B (0.0000, 0.3779, 0.2500) (multiplicity 4)  3 B 1.80-1.85
B (0.0000, 0.4760, 0.2500) (multiplicity 4)  3 B 1.78-1.85

=====

no.,calculated volume (Å³ per atom),total DFT energy (no corrections) (eV/atom)
1,32.91,-4.297
2,27.17,-5.635
3,23.82,-7.041
4,9.23,-8.961